Record 1
# Ce4SnSbN | Alexandria via LeMat-Bulk | PBE | optimized geometry
# **Uncorrected formation energy**: -0.919 eV per atom
# **Total moment**: 14.78 μB per cell
data_Ce4SnSbN
_space_group_name_H-M_alt 'C m c m'
_space_group_IT_number 63
_space_group_name_Hall '-C 2c 2'
_cell_length_a 6.7726
_cell_length_b 16.4529
_cell_length_c 6.7688
_cell_angle_alpha 90.00
_cell_angle_beta 90.00
_cell_angle_gamma 90.00
loop_
_atom_site_label
_atom_site_fract_x
_atom_site_fract_y
_atom_site_fract_z
Ce1 0.0000 0.0900 0.2500
Ce2 0.0000 0.4099 0.2500
Ce3 0.2500 0.2500 0.0000
Sn1 0.0000 0.1081 0.7500
Sb1 0.0000 0.3912 0.7500
N1 0.0000 0.2501 0.2500


Record 2
# Tb4Ce2Sb3N2 | Alexandria via LeMat-Bulk | PBE | optimized geometry
# **Uncorrected formation energy**: -1.178 eV per atom
# **Total moment**: 4.97 μB per cell
data_Tb4Ce2Sb3N2
_space_group_name_H-M_alt 'I 4/m m m'
_space_group_IT_number 139
_space_group_name_Hall '-I 4 2'
_cell_length_a 4.6985
_cell_length_b 4.6985
_cell_length_c 25.4409
_cell_angle_alpha 90.00
_cell_angle_beta 90.00
_cell_angle_gamma 90.00
loop_
_atom_site_label
_atom_site_fract_x
_atom_site_fract_y
_atom_site_fract_z
Tb1 0.0000 0.5000 0.0826
Ce1 0.0000 0.0000 0.1919
Sb1 0.0000 0.0000 0.3244
Sb2 0.0000 0.0000 0.5000
N1 0.0000 0.0000 0.1024


Record 3
# Tb2Ce4Sb3N2 | Alexandria via LeMat-Bulk | PBE | optimized geometry
# **Uncorrected formation energy**: -1.108 eV per atom
# **Total moment**: 7.55 μB per cell
data_Tb2Ce4Sb3N2
_space_group_name_H-M_alt 'I 4/m m m'
_space_group_IT_number 139
_space_group_name_Hall '-I 4 2'
_cell_length_a 4.6676
_cell_length_b 4.6676
_cell_length_c 26.0855
_cell_angle_alpha 90.00
_cell_angle_beta 90.00
_cell_angle_gamma 90.00
loop_
_atom_site_label
_atom_site_fract_x
_atom_site_fract_y
_atom_site_fract_z
Tb1 0.0000 0.0000 0.1958
Ce1 0.0000 0.5000 0.0858
Sb1 0.0000 0.0000 0.3184
Sb2 0.0000 0.0000 0.5000
N1 0.0000 0.0000 0.1076


Record 4
# TbCeSbN | Alexandria via LeMat-Bulk | PBE | optimized geometry
# **Uncorrected formation energy**: -1.287 eV per atom
# **Total moment**: 1.32 μB per cell
data_TbCeSbN
_space_group_name_H-M_alt 'P 4/n m m'
_space_group_IT_number 129
_cell_length_a 4.5814
_cell_length_b 4.5814
_cell_length_c 9.0228
_cell_angle_alpha 90.00
_cell_angle_beta 90.00
_cell_angle_gamma 90.00
loop_
_space_group_symop_operation_xyz
'x,y,z'
'-x,-y,-z'
'-y+1/2,x,z'
'y+1/2,-x,-z'
'-x+1/2,-y+1/2,z'
'x+1/2,y+1/2,-z'
'y,-x+1/2,z'
'-y,x+1/2,-z'
'x+1/2,-y,-z'
'-x+1/2,y,z'
'-y,-x,-z'
'y,x,z'
'-x,y+1/2,-z'
'x,-y+1/2,z'
'y+1/2,x+1/2,-z'
'-y+1/2,-x+1/2,z'
loop_
_atom_site_label
_atom_site_fract_x
_atom_site_fract_y
_atom_site_fract_z
Tb1 0.2500 0.2500 0.1649
Ce1 0.2500 0.7500 0.5000
Sb1 0.2500 0.2500 0.8074
N1 0.2500 0.2500 0.4117


Record 5
# TbCe2SbN2 | Alexandria via LeMat-Bulk | PBE | optimized geometry
# **Uncorrected formation energy**: -1.086 eV per atom
# **Total moment**: 1.91 μB per cell
data_TbCe2SbN2
_space_group_name_H-M_alt 'P 4/m m m'
_space_group_IT_number 123
_space_group_name_Hall '-P 4 2'
_cell_length_a 4.4606
_cell_length_b 4.4606
_cell_length_c 6.5603
_cell_angle_alpha 90.00
_cell_angle_beta 90.00
_cell_angle_gamma 90.00
loop_
_atom_site_label
_atom_site_fract_x
_atom_site_fract_y
_atom_site_fract_z
Tb1 0.0000 0.0000 0.0000
Ce1 0.5000 0.5000 0.2286
Sb1 0.0000 0.0000 0.5000
N1 0.0000 0.5000 0.0000


Record 6
# CeSbTe2N | Alexandria via LeMat-Bulk | PBE | optimized geometry
# **Uncorrected formation energy**: -0.791 eV per atom
# **Total moment**: 0.19 μB per cell
data_CeSbTe2N
_space_group_name_H-M_alt 'P 4/n m m'
_space_group_IT_number 129
_cell_length_a 4.1716
_cell_length_b 4.1716
_cell_length_c 15.7440
_cell_angle_alpha 90.00
_cell_angle_beta 90.00
_cell_angle_gamma 90.00
loop_
_space_group_symop_operation_xyz
'x,y,z'
'-x,-y,-z'
'-y+1/2,x,z'
'y+1/2,-x,-z'
'-x+1/2,-y+1/2,z'
'x+1/2,y+1/2,-z'
'y,-x+1/2,z'
'-y,x+1/2,-z'
'x+1/2,-y,-z'
'-x+1/2,y,z'
'-y,-x,-z'
'y,x,z'
'-x,y+1/2,-z'
'x,-y+1/2,z'
'y+1/2,x+1/2,-z'
'-y+1/2,-x+1/2,z'
loop_
_atom_site_label
_atom_site_fract_x
_atom_site_fract_y
_atom_site_fract_z
Ce1 0.2500 0.2500 0.0674
Sb1 0.2500 0.2500 0.6403
Te1 0.2500 0.2500 0.4022
Te2 0.2500 0.2500 0.8204
N1 0.2500 0.7500 0.0000


Record 7
# CeThSbN | Alexandria via LeMat-Bulk | PBE | optimized geometry
# **Uncorrected formation energy**: -1.154 eV per atom
# **Total moment**: 0.00 μB per cell
data_CeThSbN
_space_group_name_H-M_alt 'P 4/n m m'
_space_group_IT_number 129
_cell_length_a 4.2432
_cell_length_b 4.2432
_cell_length_c 10.7072
_cell_angle_alpha 90.00
_cell_angle_beta 90.00
_cell_angle_gamma 90.00
loop_
_space_group_symop_operation_xyz
'x,y,z'
'-x,-y,-z'
'-y+1/2,x,z'
'y+1/2,-x,-z'
'-x+1/2,-y+1/2,z'
'x+1/2,y+1/2,-z'
'y,-x+1/2,z'
'-y,x+1/2,-z'
'x+1/2,-y,-z'
'-x+1/2,y,z'
'-y,-x,-z'
'y,x,z'
'-x,y+1/2,-z'
'x,-y+1/2,z'
'y+1/2,x+1/2,-z'
'-y+1/2,-x+1/2,z'
loop_
_atom_site_label
_atom_site_fract_x
_atom_site_fract_y
_atom_site_fract_z
Ce1 0.2500 0.7500 0.0000
Th1 0.2500 0.2500 0.3986
Sb1 0.2500 0.2500 0.7796
N1 0.2500 0.7500 0.5000


Record 8
# Ce2Th4Sb3N2 | Alexandria via LeMat-Bulk | PBE | optimized geometry
# **Uncorrected formation energy**: -0.989 eV per atom
# **Total moment**: 6.05 μB per cell
data_Ce2Th4Sb3N2
_space_group_name_H-M_alt 'I 4/m m m'
_space_group_IT_number 139
_space_group_name_Hall '-I 4 2'
_cell_length_a 4.7951
_cell_length_b 4.7951
_cell_length_c 26.2631
_cell_angle_alpha 90.00
_cell_angle_beta 90.00
_cell_angle_gamma 90.00
loop_
_atom_site_label
_atom_site_fract_x
_atom_site_fract_y
_atom_site_fract_z
Ce1 0.0000 0.0000 0.1968
Th1 0.0000 0.5000 0.0835
Sb1 0.0000 0.0000 0.3241
Sb2 0.0000 0.0000 0.5000
N1 0.0000 0.0000 0.1064